Compound: V2WI
Source: Alexandria via LeMat-Bulk
Functional: PBE
Structure: relaxed

Output
Calculated total energy = -55.40 eV for the cell shown
Total moment = 0.0 μB/cell
ΔE_f (raw) = 1.261 eV/atom

Cell: 4.048 4.048 9.275 Å, 77.40 77.40 90.00°
Fractional coordinates of all 8 atoms:
I (0.500, 0.500, 0.000)
I (0.250, 0.750, 0.500)
W (0.000, 0.000, 0.000)
W (0.750, 0.250, 0.500)
V (0.616, 0.125, 0.250)
V (0.134, 0.625, 0.250)
V (0.375, 0.384, 0.750)
V (0.875, 0.866, 0.750)



Compound: La3Y3Tm2
Source: Alexandria via LeMat-Bulk
Functional: PBE
Structure: relaxed

Output
Calculated total energy = -83.23 eV for the cell shown
DFT formation energy = 1.50 eV/f.u.
Total moment = 0.0 μB/cell

Cell: 6.735 9.747 9.747 Å, 60.00 90.00 90.00°
Fractional coordinates of all 16 atoms:
La (0.750, 0.000, 0.236)
La (0.750, 0.236, 0.764)
La (0.750, 0.764, 0.000)
La (0.250, 0.000, 0.764)
La (0.250, 0.764, 0.236)
La (0.250, 0.236, 0.000)
Y (0.750, 0.000, 0.590)
Y (0.750, 0.590, 0.410)
Y (0.750, 0.410, 0.000)
Y (0.250, 0.000, 0.410)
Y (0.250, 0.410, 0.590)
Y (0.250, 0.590, 0.000)
Tm (0.000, 0.333, 0.333)
Tm (0.500, 0.667, 0.667)
Tm (0.000, 0.667, 0.667)
Tm (0.500, 0.333, 0.333)



Compound: DyTm3S4
Source: Alexandria via LeMat-Bulk
Functional: PBE
Structure: relaxed

Output
Calculated total energy = -49.97 eV for the cell shown
Total moment = 0.0 μB/cell
ΔE_f (raw) = -1.931 eV/atom

Cell: 5.456 5.456 5.456 Å, 90.00 90.00 90.00°
Fractional coordinates of all 8 atoms:
Dy (0.000, 0.000, 0.000)
Tm (0.000, 0.500, 0.500)
Tm (0.500, 0.000, 0.500)
Tm (0.500, 0.500, 0.000)
S (0.500, 0.000, 0.000)
S (0.000, 0.500, 0.000)
S (0.000, 0.000, 0.500)
S (0.500, 0.500, 0.500)



Compound: K2MgNbRe
Source: Alexandria via LeMat-Bulk
Functional: PBE
Structure: relaxed

Output
Calculated total energy = -19.17 eV for the cell shown
DFT formation energy = 7.14 eV/f.u.
Total moment = 0.0 μB/cell

Cell: 6.517 4.636 6.517 Å, 90.00 90.00 90.00°
Fractional coordinates of all 5 atoms:
Mg (0.500, 0.500, 0.500)
Re (0.000, 0.000, 0.000)
Nb (0.000, 0.500, 0.000)
K (0.000, 0.000, 0.500)
K (0.500, 0.000, 0.000)



Compound: LaNiHg3
Source: Alexandria via LeMat-Bulk
Functional: PBE
Structure: relaxed

Output
Calculated total energy = -12.39 eV for the cell shown
DFT formation energy = -0.78 eV/f.u.
Total moment = 0.0 μB/cell

Cell: 5.000 5.000 5.000 Å, 90.00 90.00 90.00°
Fractional coordinates of all 5 atoms:
Ni (0.000, 0.000, 0.000)
Hg (0.000, 0.500, 0.000)
Hg (0.000, 0.000, 0.500)
Hg (0.500, 0.000, 0.000)
La (0.500, 0.500, 0.500)



Compound: CsTaPt3
Source: Alexandria via LeMat-Bulk
Functional: PBE
Structure: relaxed

Output
Calculated total energy = -17.78 eV for the cell shown
DFT formation energy = 13.05 eV/f.u.
Total moment = 0.0 μB/cell

Cell: 5.054 5.054 5.054 Å, 90.00 90.00 90.00°
Fractional coordinates of all 5 atoms:
Cs (0.000, 0.000, 0.000)
Pt (0.000, 0.500, 0.000)
Pt (0.000, 0.000, 0.500)
Pt (0.500, 0.000, 0.000)
Ta (0.500, 0.500, 0.500)



Compound: PmSm2ErIn4
Source: Alexandria via LeMat-Bulk
Functional: PBE
Structure: relaxed

Output
Calculated total energy = -33.53 eV for the cell shown
DFT formation energy = -3.83 eV/f.u.
Total moment = 0.0 μB/cell

Cell: 5.383 5.383 9.349 Å, 73.27 73.27 60.00°
Fractional coordinates of all 8 atoms:
Pm (0.000, 0.000, 0.000)
Sm (0.751, 0.751, 0.748)
Sm (0.249, 0.249, 0.252)
Er (0.500, 0.500, 0.500)
In (0.376, 0.376, 0.871)
In (0.874, 0.874, 0.378)
In (0.126, 0.126, 0.622)
In (0.624, 0.624, 0.129)



Compound: TiTcS2Cl
Source: Alexandria via LeMat-Bulk
Functional: PBE
Structure: relaxed

Output
Calculated total energy = -26.98 eV for the cell shown
Total moment = 1.1 μB/cell
ΔE_f (raw) = 0.277 eV/atom

Cell: 4.616 4.616 4.790 Å, 90.00 90.00 90.00°
Last column: magnetic moment on the atom in μB.
Fractional coordinates of all 5 atoms:
S (0.000, 0.500, 0.000)  0.01
S (0.500, 0.000, 0.000)  0.01
Cl (0.000, 0.000, 0.500)  0.01
Tc (0.000, 0.000, 0.000)  0.91
Ti (0.500, 0.500, 0.500)  0.01



Compound: Cs2BaNpSe4
Source: Alexandria via LeMat-Bulk
Functional: PBE
Structure: relaxed

Output
Calculated total energy = -41.69 eV for the cell shown
Total moment = 3.0 μB/cell
ΔE_f (raw) = -1.398 eV/atom

Cell: 4.513 8.742 8.010 Å, 72.71 90.00 90.00°
Last column: magnetic moment on the atom in μB.
Fractional coordinates of all 8 atoms:
Cs (0.000, 0.000, 0.000)  -0.01
Cs (0.500, 0.000, 0.500)  0.00
Ba (0.500, 0.500, 0.000)  0.00
Np (0.000, 0.500, 0.500)  3.41
Se (0.000, 0.693, 0.726)  -0.07
Se (0.000, 0.307, 0.274)  -0.07
Se (0.500, 0.684, 0.302)  -0.08
Se (0.500, 0.316, 0.698)  -0.08



Compound: Tm3AlB
Source: Alexandria via LeMat-Bulk
Functional: PBE
Structure: relaxed

Output
Calculated total energy = -24.72 eV for the cell shown
DFT formation energy = -0.88 eV/f.u.
Total moment = 0.0 μB/cell

Cell: 4.917 4.917 4.917 Å, 90.00 90.00 90.00°
Fractional coordinates of all 5 atoms:
B (0.000, 0.000, 0.000)
Tm (0.000, 0.500, 0.000)
Tm (0.000, 0.000, 0.500)
Tm (0.500, 0.000, 0.000)
Al (0.500, 0.500, 0.500)



Compound: SmSc4In4
Source: Alexandria via LeMat-Bulk
Functional: PBE
Structure: relaxed

Output
Calculated total energy = -85.59 eV for the cell shown
DFT formation energy = -1.80 eV/f.u.
Total moment = 0.0 μB/cell

Cell: 6.852 6.852 10.167 Å, 90.00 90.00 90.00°
Fractional coordinates of all 18 atoms:
Sm (0.000, 0.000, 0.000)
Sm (0.500, 0.500, 0.500)
Sc (0.232, 0.500, 0.917)
Sc (0.768, 0.500, 0.917)
Sc (0.500, 0.768, 0.083)
Sc (0.500, 0.232, 0.083)
Sc (0.000, 0.732, 0.417)
Sc (0.000, 0.268, 0.417)
Sc (0.268, 0.000, 0.583)
Sc (0.732, 0.000, 0.583)
In (0.500, 0.783, 0.789)
In (0.500, 0.217, 0.789)
In (0.783, 0.500, 0.211)
In (0.217, 0.500, 0.211)
In (0.283, 0.000, 0.289)
In (0.717, 0.000, 0.289)
In (0.000, 0.283, 0.711)
In (0.000, 0.717, 0.711)



Compound: Cd2SiNi
Source: Alexandria via LeMat-Bulk
Functional: PBE
Structure: relaxed

Output
Calculated total energy = -12.01 eV for the cell shown
Total moment = 0.0 μB/cell
ΔE_f (raw) = 0.256 eV/atom

Cell: 5.075 5.075 5.075 Å, 133.48 133.51 67.88°
Fractional coordinates of all 4 atoms:
Cd (0.000, 0.000, 0.000)
Cd (0.500, 0.500, 0.000)
Ni (0.750, 0.250, 0.500)
Si (0.250, 0.750, 0.500)